Ba3BeRu after structural relaxation. Source: Alexandria via LeMat-Bulk, functional PBE.

## Properties
Electronic total energy = -3.134 eV per atom
Density = 4.306 Mg/m³
Fermi-level density of states = 0.9046 states/eV per atom
Energy of formation = 60 kJ per mole of atoms

Cell: 5.8607 5.8607 5.8607 Å, 90.00 90.00 90.00°
Element x y z (fractional)
Ru  0.0000  0.0000  0.0000
Be  0.5000  0.5000  0.5000
Ba  0.0000  0.5000  0.0000
Ba  0.5000  0.0000  0.0000
Ba  0.0000  0.0000  0.5000